Entry 1:
A relaxed structure of Pr8Te4PS3. Source: the Alexandria database, functional PBE.

```
Pr8Te4PS3
1.0
8.5467 0.0000 0.0000
0.0000 8.7977 0.1719
-4.2734 -4.2697 6.0461
Pr S Te P
8 3 4 1
Direct
0.2610 0.2910 0.0260 Pr
0.2350 0.7090 0.9740 Pr
0.2350 0.7089 0.4700 Pr
0.7650 0.2911 0.5300 Pr
0.7390 0.7090 0.9740 Pr
0.7361 0.7082 0.4721 Pr
0.2639 0.2918 0.5279 Pr
0.7650 0.2910 0.0260 Pr
0.5000 0.5000 0.0000 S
0.0000 0.5000 0.5000 S
0.5000 0.5000 0.5000 S
0.5000 0.0000 0.5000 Te
0.5000 0.0000 0.0000 Te
0.0000 0.0000 0.5000 Te
0.0000 0.0000 0.0000 Te
0.0000 0.5000 0.0000 P
```

Properties
**Space group**: R-3m, No. 166
**Total moment**: 0.000 μB per formula unit
**ΔE_f (raw)**: -2637.4 kJ/mol of formula units
**Calculated total energy**: -5.996 eV/atom



Entry 2:
A relaxed structure of Pr3TePS. Source: the Alexandria database, functional PBE.

```
Pr3TePS
1.0
4.4054 0.0000 0.0000
0.0000 8.6302 0.6666
0.0000 -2.6624 9.4400
Te Pr S P
2 6 2 2
Direct
0.7500 0.8208 0.7817 Te
0.2500 0.1792 0.2183 Te
0.2500 0.1189 0.8706 Pr
0.2500 0.5706 0.8542 Pr
0.7500 0.4294 0.1458 Pr
0.7500 0.8811 0.1294 Pr
0.2500 0.7558 0.4687 Pr
0.7500 0.2442 0.5313 Pr
0.2500 0.0895 0.5916 S
0.7500 0.9105 0.4084 S
0.7500 0.3428 0.8484 P
0.2500 0.6572 0.1516 P
```

Properties
**Space group**: P2_1/m, No. 11
**Total moment**: 0.514 μB per formula unit
**ΔE_f (raw)**: -823.3 kJ/mol of formula units
**Calculated total energy**: -5.925 eV/atom



Entry 3:
A relaxed structure of Pr6TeP2S3. Source: the Alexandria database, functional PBE.

```
Pr6TeP2S3
1.0
4.1963 0.0000 0.0000
0.0000 8.4803 0.3643
-2.0982 -2.3825 8.8475
Pr P S Te
6 2 3 1
Direct
0.0049 0.2780 0.0098 Pr
0.6690 0.5791 0.3381 Pr
0.3310 0.4209 0.6619 Pr
0.6762 0.1011 0.3525 Pr
0.3238 0.8989 0.6475 Pr
0.9951 0.7220 0.9902 Pr
0.1676 0.3348 0.3352 P
0.8324 0.6652 0.6648 P
0.5000 0.5000 0.0000 S
0.1629 0.8351 0.3258 S
0.8371 0.1649 0.6742 S
0.5000 0.0000 0.0000 Te
```

Properties
**Space group**: C2/m, No. 12
**Total moment**: 0.000 μB per formula unit
**ΔE_f (raw)**: -2064.7 kJ/mol of formula units
**Calculated total energy**: -6.368 eV/atom



Entry 4:
A relaxed structure of Pr8Te3P3S. Source: the Alexandria database, functional PBE.

```
Pr8Te3P3S
1.0
8.4976 -0.0001 0.0000
-4.2489 7.3590 -0.0266
-0.0001 -4.8788 7.3392
P Pr Te S
3 8 3 1
Direct
0.0000 0.5000 0.5000 P
0.5000 0.5000 0.5000 P
0.5000 0.0000 0.5000 P
0.7373 0.4746 0.7119 Pr
0.2645 0.0244 0.2844 Pr
0.7599 0.0244 0.2844 Pr
0.7355 0.9756 0.7156 Pr
0.2400 0.4799 0.7155 Pr
0.2627 0.5254 0.2881 Pr
0.7600 0.5201 0.2845 Pr
0.2401 0.9756 0.7156 Pr
0.5000 0.5000 0.0000 Te
0.0000 0.5000 0.0000 Te
0.0000 0.0000 0.0000 Te
0.0000 0.0000 0.5000 S
```

Properties
**Space group**: R-3m, No. 166
**Total moment**: 0.000 μB per formula unit
**ΔE_f (raw)**: -2149.2 kJ/mol of formula units
**Calculated total energy**: -6.020 eV/atom